## LiAg4Cl5 (PBE)

Data for a relaxed structure of LiAg4Cl5.

a = 14.120 Å, b = 14.120 Å, c = 14.120 Å
α = 164.01°, β = 164.01°, γ = 22.69°
Positions (direct):
Li 0.000 0.000 0.000
Ag 0.198 0.198 0.000
Ag 0.402 0.402 0.000
Ag 0.598 0.598 0.000
Ag 0.802 0.802 0.000
Cl 0.095 0.095 0.000
Cl 0.301 0.301 0.000
Cl 0.500 0.500 0.000
Cl 0.699 0.699 0.000
Cl 0.905 0.905 0.000

Relative energy among the computed polymorphs   30.7 meV/atom
Formation energy without anion corrections   -0.68 eV per atom